# 1
The following is a GGA-PBE calculation of a relaxed Zn5Mo3 crystal, from Alexandria.

Unit cell a=5.663 b=5.663 c=3.703 alpha=90.00 beta=90.00 gamma=93.78
Sites, in units of the cell vectors:
Zn  0.754  0.246  0.500
Zn  0.246  0.754  0.500
Zn  0.000  0.000  0.000
Zn  0.000  0.500  0.000
Zn  0.500  0.000  0.000
Mo  0.747  0.747  0.500
Mo  0.253  0.253  0.500
Mo  0.500  0.500  0.000

Properties
Total magnetic moment   0.0000 μB/atom
Fermi-level density of states   4.2 states/eV/f.u.
Excess energy over the best structure of this formula in the dataset   0 meV per atom
ΔH_f (0 K)   78.0 meV/atom

=====

# 2
The following is a GGA-PBE calculation of a relaxed Tb4Dy3Er crystal, from Alexandria.

Unit cell a=5.603 b=3.557 c=13.251 alpha=90.00 beta=102.20 gamma=90.00
Sites, in units of the cell vectors:
Tb  0.277  0.499  0.554
Tb  0.603  0.500  0.206
Tb  0.723  0.501  0.446
Tb  0.397  0.500  0.794
Dy  0.000  0.500  0.000
Dy  0.847  0.999  0.693
Dy  0.153  0.001  0.307
Er  0.500  0.000  0.000

Properties
Total magnetic moment   0.0000 μB/atom
Fermi-level density of states   11.5 states/eV/f.u.
Excess energy over the best structure of this formula in the dataset   183 meV per atom
ΔH_f (0 K)   191.9 meV/atom

=====

# 3
The following is a GGA-PBE calculation of a relaxed AcErPd2 crystal, from Alexandria.

Unit cell a=3.635 b=3.635 c=7.299 alpha=90.00 beta=90.00 gamma=90.00
Sites, in units of the cell vectors:
Ac  0.500  0.500  0.500
Pd  0.000  0.000  0.788
Pd  0.000  0.000  0.212
Er  0.500  0.500  0.000

Properties
Total magnetic moment   0.0000 μB/atom
Fermi-level density of states   3.8 states/eV/f.u.
Excess energy over the best structure of this formula in the dataset   28 meV per atom
ΔH_f (0 K)   -784.9 meV/atom

=====

# 4
The following is a GGA-PBE calculation of a relaxed Mg2MnTc crystal, from Alexandria.

Unit cell a=2.740 b=2.740 c=8.765 alpha=90.00 beta=90.00 gamma=90.00
Site moments in Bohr magnetons follow the coordinates.
Sites, in units of the cell vectors:
Mn  0.500  0.500  0.250  3.42
Mg  0.000  0.000  0.999  -0.02
Mg  0.000  0.000  0.501  -0.02
Tc  0.500  0.500  0.750  -0.03

Properties
Total magnetic moment   0.8668 μB/atom
Fermi-level density of states   3.9 states/eV/f.u.
Excess energy over the best structure of this formula in the dataset   247 meV per atom
ΔH_f (0 K)   320.3 meV/atom

=====

# 5
The following is a GGA-PBE calculation of a relaxed ReIr2F crystal, from Alexandria.

Unit cell a=6.621 b=6.621 c=5.452 alpha=52.62 beta=52.62 gamma=90.00
Sites, in units of the cell vectors:
Ir  0.375  0.371  0.750
Ir  0.121  0.625  0.250
Ir  0.875  0.879  0.750
Ir  0.629  0.125  0.250
F  0.250  0.750  0.500
F  0.500  0.500  0.000
Re  0.750  0.250  0.500
Re  0.000  0.000  0.000

Properties
Total magnetic moment   0.0000 μB/atom
Fermi-level density of states   1.0 states/eV/f.u.
Excess energy over the best structure of this formula in the dataset   210 meV per atom
Energy relative to the elements, uncorrected   0.43 eV per atom

=====

# 6
The following is a GGA-PBE calculation of a relaxed CrCu3As crystal, from Alexandria.

Unit cell a=4.487 b=4.487 c=4.487 alpha=90.00 beta=90.00 gamma=90.00
Site moments in Bohr magnetons follow the coordinates.
Sites, in units of the cell vectors:
Cu  0.000  0.500  0.000  0.02
Cu  0.500  0.000  0.000  0.02
Cu  0.000  0.000  0.500  0.07
Cr  0.500  0.500  0.500  4.08
As  0.000  0.000  0.000  0.05

Properties
Total magnetic moment   0.9770 μB/atom
Fermi-level density of states   1.8 states/eV/f.u.
Excess energy over the best structure of this formula in the dataset   0 meV per atom
ΔH_f (0 K)   654.4 meV/atom

=====

# 7
The following is a GGA-PBE calculation of a relaxed Y2Ga3Ru crystal, from Alexandria.

Unit cell a=5.470 b=5.470 c=5.401 alpha=90.04 beta=120.46 gamma=119.92
Sites, in units of the cell vectors:
Y  0.747  0.373  0.119
Y  0.253  0.627  0.881
Ru  0.000  0.000  0.000
Ga  0.500  0.500  0.500
Ga  0.500  0.000  0.500
Ga  0.000  0.000  0.500

Properties
Total magnetic moment   0.0000 μB/atom
Fermi-level density of states   4.0 states/eV/f.u.
ΔH_f (0 K)   -591.5 meV/atom

=====

# 8
The following is a GGA-PBE calculation of a relaxed Li4OsRu crystal, from Alexandria.

Unit cell a=4.642 b=4.642 c=4.642 alpha=60.00 beta=60.00 gamma=60.00
Sites, in units of the cell vectors:
Li  0.874  0.375  0.375
Li  0.375  0.375  0.375
Li  0.375  0.375  0.874
Li  0.375  0.874  0.375
Os  0.750  0.750  0.750
Ru  0.000  0.000  0.000

Properties
Total magnetic moment   0.0001 μB/atom
Fermi-level density of states   6.1 states/eV/f.u.
ΔH_f (0 K)   387.6 meV/atom

=====

# 9
The following is a GGA-PBE calculation of a relaxed TlGa5 crystal, from Alexandria.

Unit cell a=4.716 b=4.612 c=7.033 alpha=89.95 beta=90.00 gamma=120.75
Sites, in units of the cell vectors:
Ga  0.832  0.664  0.201
Ga  0.168  0.337  0.209
Ga  0.832  0.663  0.791
Ga  0.500  0.000  0.000
Ga  0.168  0.336  0.799
Tl  0.500  0.000  0.500

Properties
Total magnetic moment   0.0000 μB/atom
Fermi-level density of states   2.2 states/eV/f.u.
Excess energy over the best structure of this formula in the dataset   0 meV per atom
ΔH_f (0 K)   47.7 meV/atom

=====

# 10
The following is a GGA-PBE calculation of a relaxed AcPmThGa crystal, from Alexandria.

Unit cell a=5.574 b=5.574 c=5.574 alpha=60.00 beta=60.00 gamma=60.00
Sites, in units of the cell vectors:
Th  0.250  0.250  0.250
Pm  0.750  0.750  0.750
Ga  0.000  0.000  0.000
Ac  0.500  0.500  0.500

Properties
Total magnetic moment   0.0000 μB/atom
Fermi-level density of states   5.4 states/eV/f.u.
ΔH_f (0 K)   78.5 meV/atom

=====

# 11
The following is a GGA-PBE calculation of a relaxed AlZn crystal, from Alexandria.

Unit cell a=8.750 b=8.750 c=8.750 alpha=19.31 beta=19.31 gamma=19.31
Sites, in units of the cell vectors:
Al  0.752  0.752  0.752
Al  0.998  0.998  0.998
Zn  0.249  0.249  0.249
Zn  0.501  0.501  0.501

Properties
Total magnetic moment   0.0000 μB/atom
Fermi-level density of states   0.9 states/eV/f.u.
ΔH_f (0 K)   6.4 meV/atom

=====

# 12
The following is a GGA-PBE calculation of a relaxed TcCl crystal, from Alexandria.

Unit cell a=8.901 b=3.479 c=10.272 alpha=90.00 beta=90.00 gamma=90.00
Sites, in units of the cell vectors:
Cl  0.167  0.970  0.826
Cl  0.833  0.470  0.674
Cl  0.667  0.530  0.174
Cl  0.356  0.560  0.046
Cl  0.144  0.440  0.546
Cl  0.333  0.030  0.326
Cl  0.856  0.940  0.954
Cl  0.644  0.060  0.454
Tc  0.107  0.197  0.215
Tc  0.596  0.725  0.946
Tc  0.404  0.225  0.554
Tc  0.893  0.697  0.285
Tc  0.607  0.303  0.785
Tc  0.904  0.275  0.446
Tc  0.096  0.775  0.054
Tc  0.393  0.803  0.715

Properties
Total magnetic moment   0.0000 μB/atom
Fermi-level density of states   1.0 states/eV/f.u.
Excess energy over the best structure of this formula in the dataset   96 meV per atom
Energy relative to the elements, uncorrected   -0.03 eV per atom

=====

Q: Among the records above, which one has the lowest Fermi-level density of states?
A: AlZn

=====

Q: total magnetic moment of number 12 (TcCl)?
A: 0.0000 μB/atom

=====

Q: What is the total magnetic moment in the tenth record?
A: 0.0000 μB/atom